Record 1
A plane-wave DFT calculation with GGA+U was carried out for GaFe2SeO after structural relaxation.

Computed properties:
As for the final energy: -2.440 eV/atom. The calculated volume comes out at 45.4 Å³/atom. The density is 2020 kg/m³.

Unit cell a=5.8303 b=5.8303 c=6.6837 alpha=90.00 beta=90.00 gamma=90.00
With the nearest neighbours (Å) after each atom.
Fractional positions:
Ga  0.0000  0.0000  0.0000  2 Se 3.34
Fe  0.0000  0.5000  0.5000  2 Se 2.92
Fe  0.5000  0.0000  0.5000  2 Se 2.92
Se  0.0000  0.0000  0.5000  4 Fe 2.92
O  0.5000  0.5000  0.0000  4 Ga 4.12, 8 Fe 4.43



Record 2
A plane-wave DFT calculation with GGA+U was carried out for BaMo3O after structural relaxation.

Computed properties:
As for the final energy: -2.899 eV/atom. The calculated volume comes out at 66.5 Å³/atom. The density is 2202 kg/m³. For the excess energy over the best structure of this formula in the dataset, the calculation gives 9.034 eV per formula unit.

Unit cell a=6.9293 b=6.9293 c=6.9293 alpha=90.00 beta=90.00 gamma=90.00
With the nearest neighbours (Å) after each atom.
Fractional positions:
Ba  0.0000  0.0000  0.0000  6 Mo 3.46
Mo  0.0000  0.0000  0.5000  2 Ba 3.46
Mo  0.0000  0.5000  0.0000  2 Ba 3.46
Mo  0.5000  0.0000  0.0000  2 Ba 3.46
O  0.5000  0.5000  0.5000  12 Mo 4.90